DFT (GGA-PBE) results for K3Cu2Cl7 after structural relaxation.

Total moment in μB per formula unit: 0.000
D(E_F) in states/eV per atom: 0.30
Energy above the most stable polymorph in this dataset in meV per atom: 0
Formation energy without anion corrections in eV/atom: -1.230
Final energy in Ry per atom: -0.2399

a b c (Å): 4.8851 4.8851 12.9718
angles (deg): 100.85 100.85 90.00
With the nearest neighbours (Å) after each atom.
Fractional positions:
K  0.6804  0.6804  0.3608  9 Cl 3.17-3.47
K  0.5000  0.5000  0.0000  12 Cl 3.38-3.45
K  0.3196  0.3196  0.6392  9 Cl 3.17-3.47
Cl  0.4064  0.9064  0.8128  2 Cu 2.44
Cl  0.9064  0.4064  0.8128  2 Cu 2.44
Cl  0.0000  0.0000  0.0000  2 Cu 2.42
Cl  0.1927  0.1927  0.3854  1 Cu 2.39
Cl  0.8073  0.8073  0.6146  1 Cu 2.39
Cl  0.0936  0.5936  0.1872  2 Cu 2.44
Cl  0.5936  0.0936  0.1872  2 Cu 2.44
Cu  0.9030  0.9030  0.8061  6 Cl 2.39-2.44
Cu  0.0970  0.0970  0.1939  6 Cl 2.39-2.44